# 1
A relaxed structure of NdDyTlNi, computed with PBE.

Cell: 7.3603 7.3603 7.3603 Å, 90.00 90.00 90.00°
Closest atoms and distances in Å follow each position.
Space group F-43m (No. 216)
Inequivalent atoms, fractional coordinates:
Nd 0.0000 0.0000 0.0000 (multiplicity 4)  4 Ni 3.19, 4 Tl 3.19
Dy 0.0000 0.0000 0.5000 (multiplicity 4)  4 Tl 3.19, 4 Ni 3.19
Tl 0.2500 0.2500 0.7500 (multiplicity 4)  4 Dy 3.19, 4 Nd 3.19
Ni 0.2500 0.2500 0.2500 (multiplicity 4)  4 Dy 3.19, 4 Nd 3.19

Summary:
For the final energy, the calculation gives -4.584 eV per atom. Its density of states at the Fermi level is 18.395 states/eV/cell.

# 2
A relaxed structure of Nd2DyNpO8, computed with PBE.

Cell: 3.9354 7.5724 5.5469 Å, 90.00 94.49 90.00°
Closest atoms and distances in Å follow each position.
Space group P2/m (No. 10)
Inequivalent atoms, fractional coordinates:
Nd 0.0000 0.2420 0.0000 (multiplicity 2)  8 O 2.31-2.51
Dy 0.5000 0.0000 0.5000 (multiplicity 1)  8 O 2.29-2.50
Np 0.5000 0.5000 0.5000 (multiplicity 1)  6 O 2.05-2.11
O 0.0058 0.0000 0.2545 (multiplicity 2)  2 Dy 2.29-2.50, 2 Nd 2.31
O 0.0541 0.5000 0.2838 (multiplicity 2)  1 Np 2.05
O 0.4669 0.2791 0.7285 (multiplicity 4)  1 Np 2.11

Summary:
Its formation energy (no corrections) is -3622 kJ/mol of formula units. Its density of states at the Fermi level is 0.331 states/eV/cell.

# 3
A relaxed structure of NdDy2NpP4, computed with PBE.

Cell: 6.9751 4.0271 6.9917 Å, 90.00 109.34 90.00°
Closest atoms and distances in Å follow each position.
Space group P2/m (No. 10)
Inequivalent atoms, fractional coordinates:
Nd 0.0000 0.0000 0.0000 (multiplicity 1)  6 P 2.89
Dy 0.5000 0.0000 0.5000 (multiplicity 1)  6 P 2.81
Dy 0.5000 0.5000 0.0000 (multiplicity 1)  6 P 2.88-2.89
Np 0.0000 0.5000 0.5000 (multiplicity 1)  6 P 2.81-2.83
P 0.2492 0.0000 0.7424 (multiplicity 2)  3 Dy 2.81-2.88, 2 Np 2.83, 1 Nd 2.89
P 0.2532 0.5000 0.2602 (multiplicity 2)  1 Np 2.81, 3 Dy 2.81-2.89, 2 Nd 2.89

Summary:
For the final energy, the calculation gives -7.461 eV per atom. Its density of states at the Fermi level is 10.604 states/eV/cell.